Record 1
The following is a DFT calculation (PBE) of a relaxed structure of Mg2RePb.

Geometry as POSCAR:
```
Mg2RePb
1.0
-1.834 1.603 4.722
-5.153 1.291 -0.109
3.022 -4.168 -1.314
Re Mg Pb
1 2 1
Cartesian
-2.806 -0.718 0.438
-0.025 0.010 0.016
-1.156 -0.558 2.860
-3.472 1.438 2.292
```

Energy relative to the elements: 0.44 eV/atom
Total moment: 0.00 μB per atom

=====

Record 2
The following is a DFT calculation (PBE) of a relaxed structure of CrTcC2.

Geometry as POSCAR:
```
CrTcC2
1.0
-1.880 -1.948 2.501
0.622 0.527 3.594
-2.547 1.653 2.088
C Tc Cr
2 1 1
Cartesian
-2.854 0.175 6.138
-0.951 0.058 2.046
-1.903 0.116 4.092
0.000 0.000 0.000
```

Energy relative to the lowest polymorph listed for this composition: 230 meV per atom
Energy relative to the elements: 0.79 eV/atom
Total moment: 0.00 μB per atom

=====

Record 3
The following is a DFT calculation (PBE) of a relaxed structure of LiZnP2.

Geometry as POSCAR:
```
LiZnP2
1.0
4.682 -0.118 0.000
1.425 4.461 0.000
-3.054 -2.172 2.809
P Li Zn
2 1 1
Cartesian
3.054 2.172 0.000
0.000 0.000 0.000
2.341 -0.059 1.405
0.713 2.231 1.405
```

Energy relative to the elements: 0.05 eV/atom
Total moment: 0.00 μB per atom

=====

Record 4
The following is a DFT calculation (PBE) of a relaxed structure of Nb2PH.

Geometry as POSCAR:
```
Nb2PH
1.0
-3.729 0.682 4.591
-1.328 -5.800 -0.216
-0.312 -3.136 4.073
Nb H P
4 2 2
Cartesian
-2.224 -4.679 4.680
-4.565 -6.422 6.898
-1.636 -4.276 1.780
-2.312 -1.130 3.538
-2.528 -2.559 2.187
-2.084 -5.747 3.022
0.000 0.000 0.000
-3.285 -2.506 5.426
```

Energy relative to the lowest polymorph listed for this composition: 0 meV per atom
Total moment: 0.00 μB per atom

=====

Record 5
The following is a DFT calculation (PBE) of a relaxed structure of AcAl9Rh2.

Geometry as POSCAR:
```
AcAl9Rh2
1.0
-3.100 1.332 6.409
-8.389 0.609 -0.091
-2.106 -6.796 4.486
Al Ac Rh
18 2 4
Cartesian
0.000 0.000 0.000
-9.190 -1.761 4.651
-4.862 -5.974 4.485
-3.259 -1.352 5.388
-8.868 -4.290 8.336
-9.198 -3.992 3.065
-4.816 -2.917 7.006
-4.807 0.473 4.260
-2.765 -2.567 2.745
-7.368 0.092 5.147
-6.770 0.276 2.263
-3.039 -4.121 4.981
-6.638 -4.769 6.510
-7.572 -2.095 7.005
-4.313 -0.742 1.617
-7.650 -5.817 4.192
-8.592 -1.577 1.767
-10.417 -2.465 7.208
-1.550 0.666 3.205
-6.022 -2.760 3.800
-9.530 -0.077 6.662
-9.033 -4.141 5.700
-6.389 -3.779 8.950
-5.336 -0.381 6.707
```

Energy relative to the lowest polymorph listed for this composition: 0 meV per atom
Energy relative to the elements: -0.56 eV/atom
Total moment: 0.00 μB per atom

=====

Record 6
The following is a DFT calculation (PBE) of a relaxed structure of H3Se.

Geometry as POSCAR:
```
H3Se
1.0
5.638 4.641 0.000
6.990 10.458 0.000
0.000 0.000 5.139
H Se
6 2
Cartesian
4.214 4.268 3.854
2.622 2.619 2.455
2.622 2.619 0.114
10.006 12.480 2.684
10.006 12.480 5.025
8.414 10.831 1.285
7.107 10.131 1.285
5.520 4.968 3.854
```

DFT total energy: -3.395 eV per atom
Total moment: 0.00 μB per atom

=====

Which value of total moment does entry 4 give? 0.00 μB per atom